The following is a PBE-GGA calculation of crystalline MgOsNF2 at its relaxed geometry, from Alexandria.

The space group is P4/mmm (No. 123) and the conventional cell measures 4.335, 4.335 and 3.764 Å, with angles of 90.00, 90.00 and 90.00 degrees. The inequivalent atoms are Mg at (0.000, 0.000, 0.000), Os at (0.500, 0.500, 0.500), N at (0.500, 0.500, 0.000) and F at (0.000, 0.500, 0.500).

The electronic total energy comes out at -5.49 eV/atom. The value obtained for the relative energy among the computed polymorphs is 0.0 meV/atom. The uncorrected formation energy is -0.52 eV/atom. As for the density of states at the Fermi level: 1.7 states/eV/f.u.


The following is a PBE-GGA calculation of crystalline MgOsNF2 at its relaxed geometry, from Alexandria.

The space group is P4/mmm (No. 123) and the conventional cell measures 3.506, 3.506 and 5.262 Å, with angles of 90.00, 90.00 and 90.00 degrees. The inequivalent atoms are Mg at (0.000, 0.000, 0.000), Os at (0.500, 0.500, 0.500), N at (0.000, 0.000, 0.500) and F at (0.000, 0.500, 0.000).

The electronic total energy comes out at -5.38 eV/atom. The value obtained for the relative energy among the computed polymorphs is 110.4 meV/atom. The uncorrected formation energy is -0.41 eV/atom. As for the density of states at the Fermi level: 2.4 states/eV/f.u.


The following is a PBE-GGA calculation of crystalline MgOsN2F at its relaxed geometry, from Alexandria.

The space group is P4/mmm (No. 123) and the conventional cell measures 3.822, 3.822 and 4.424 Å, with angles of 90.00, 90.00 and 90.00 degrees. The inequivalent atoms are Mg at (0.000, 0.000, 0.000), Os at (0.500, 0.500, 0.500), N at (0.000, 0.500, 0.500) and F at (0.500, 0.500, 0.000).

The electronic total energy comes out at -6.33 eV/atom. The value obtained for the relative energy among the computed polymorphs is 0.0 meV/atom. The uncorrected formation energy is -0.06 eV/atom. As for the density of states at the Fermi level: 2.8 states/eV/f.u.


The following is a PBE-GGA calculation of crystalline MgOsN2F at its relaxed geometry, from Alexandria.

The space group is P4/mmm (No. 123) and the conventional cell measures 4.030, 4.030 and 3.506 Å, with angles of 90.00, 90.00 and 90.00 degrees. The inequivalent atoms are Mg at (0.000, 0.000, 0.000), Os at (0.500, 0.500, 0.500), N at (0.000, 0.500, 0.000) and F at (0.000, 0.000, 0.500).

The electronic total energy comes out at -5.23 eV/atom. The value obtained for the relative energy among the computed polymorphs is 1099.3 meV/atom. The uncorrected formation energy is 1.04 eV/atom. As for the density of states at the Fermi level: 4.1 states/eV/f.u.


The following is a PBE-GGA calculation of crystalline MgPdNF2 at its relaxed geometry, from Alexandria.

The space group is P4/mmm (No. 123) and the conventional cell measures 4.412, 4.412 and 3.762 Å, with angles of 90.00, 90.00 and 90.00 degrees. The inequivalent atoms are Mg at (0.000, 0.000, 0.000), Pd at (0.500, 0.500, 0.500), N at (0.500, 0.500, 0.000) and F at (0.000, 0.500, 0.500).

The electronic total energy comes out at -4.27 eV/atom. The value obtained for the relative energy among the computed polymorphs is 354.4 meV/atom. The uncorrected formation energy is -0.50 eV/atom. As for the density of states at the Fermi level: 1.5 states/eV/f.u.


The following is a PBE-GGA calculation of crystalline MgPdN2F at its relaxed geometry, from Alexandria.

The space group is P4/mmm (No. 123) and the conventional cell measures 3.900, 3.900 and 4.432 Å, with angles of 90.00, 90.00 and 90.00 degrees. The inequivalent atoms are Mg at (0.000, 0.000, 0.000), Pd at (0.500, 0.500, 0.500), N at (0.000, 0.500, 0.500) and F at (0.500, 0.500, 0.000).

The electronic total energy comes out at -4.56 eV/atom. The value obtained for the relative energy among the computed polymorphs is 0.0 meV/atom. The uncorrected formation energy is 0.51 eV/atom. As for the density of states at the Fermi level: 3.2 states/eV/f.u.